DFT (PBE) results for crystalline PrTl15Pb4 at its relaxed geometry.

Output
As for the space-group type: P4/mmm. For the formation energy, the calculation gives -73.1 kJ/mol of formula units. The value obtained for the total energy is -2.793 eV/atom.

Unit cell a=5.096 b=5.096 c=23.461 alpha=90.00 beta=90.00 gamma=90.00
Atoms (fractional coordinates):
Pb (0.000, 0.000, 0.398)
Tl (0.500, 0.000, 0.500)
Tl (0.500, 0.500, 0.602)
Tl (0.000, 0.500, 0.298)
Tl (0.500, 0.500, 0.800)
Tl (0.000, 0.500, 0.902)
Tl (0.500, 0.000, 0.098)
Pb (0.000, 0.000, 0.188)
Pr (0.000, 0.000, 0.000)
Tl (0.000, 0.500, 0.500)
Tl (0.500, 0.000, 0.702)
Tl (0.000, 0.500, 0.702)
Tl (0.500, 0.500, 0.000)
Pb (0.000, 0.000, 0.812)
Tl (0.500, 0.500, 0.200)
Pb (0.000, 0.000, 0.602)
Tl (0.500, 0.500, 0.398)
Tl (0.500, 0.000, 0.902)
Tl (0.000, 0.500, 0.098)
Tl (0.500, 0.000, 0.298)